#P
This record from Alexandria via LeMat-Bulk describes a relaxed structure of Na3LiPb. The functional is GGA-PBE.

Structure (POSCAR):
```
Na3LiPb
1.0
5.4233 0.0000 0.0000
0.0000 5.4233 0.0000
0.0000 0.0000 5.4233
Na Li Pb
3 1 1
Direct
0.0000 0.0000 0.5000
0.0000 0.5000 0.0000
0.5000 0.0000 0.0000
0.0000 0.0000 0.0000
0.5000 0.5000 0.5000
```

Properties
- symmetry = Pm-3m
- M_tot (μB per atom) = 0.000
- Fermi-level density of states (states/eV per cell) = 3.2



#Q
This record from Alexandria via LeMat-Bulk describes a relaxed structure of Na3LiPb. The functional is GGA-PBE.

Structure (POSCAR):
```
Na3LiPb
1.0
9.3220 0.0000 0.0000
0.0000 6.3863 0.0000
-2.8003 0.0000 10.0396
Na Li Pb
12 4 4
Direct
0.0008 0.2339 0.4125
0.0008 0.7661 0.9125
0.2008 0.2720 0.7969
0.2008 0.7280 0.2969
0.3822 0.4936 0.5905
0.3822 0.5064 0.0905
0.6178 0.4936 0.9095
0.6178 0.5064 0.4095
0.7992 0.2720 0.7031
0.7992 0.7280 0.2031
0.9992 0.2339 0.0875
0.9992 0.7661 0.5875
0.3925 0.0079 0.0876
0.3925 0.9921 0.5876
0.6075 0.0079 0.4124
0.6075 0.9921 0.9124
0.3099 0.2100 0.3183
0.3099 0.7900 0.8183
0.6901 0.2100 0.1817
0.6901 0.7900 0.6817
```

Properties
- symmetry = P2/c
- M_tot (μB per atom) = 0.000
- Fermi-level density of states (states/eV per cell) = 5.5



Which structure wins on stability? #Q wins.



#P
This record from Alexandria via LeMat-Bulk describes a relaxed structure of NaLi2Pb. The functional is GGA-PBE.

Structure (POSCAR):
```
NaLi2Pb
1.0
0.0000 3.5120 3.5120
3.5120 0.0000 3.5120
3.5120 3.5120 0.0000
Na Li Pb
1 2 1
Direct
0.0000 0.0000 0.0000
0.2500 0.2500 0.2500
0.7500 0.7500 0.7500
0.5000 0.5000 0.5000
```

Properties
- symmetry = Fm-3m
- M_tot (μB per atom) = 0.000
- Fermi-level density of states (states/eV per cell) = 1.9



#Q
This record from Alexandria via LeMat-Bulk describes a relaxed structure of NaLi2Pb. The functional is GGA-PBE.

Structure (POSCAR):
```
NaLi2Pb
1.0
3.6639 0.0000 0.0000
0.0000 3.6639 0.0000
0.0000 0.0000 7.2411
Na Li Pb
1 2 1
Direct
0.0000 0.0000 0.0000
0.5000 0.5000 0.2895
0.5000 0.5000 0.7105
0.0000 0.0000 0.5000
```

Properties
- symmetry = P4/mmm
- M_tot (μB per atom) = 0.000
- Fermi-level density of states (states/eV per cell) = 1.9



Which structure wins on stability? #P wins.



#P
This record from Alexandria via LeMat-Bulk describes a relaxed structure of NaLi2Pb. The functional is GGA-PBE.

Structure (POSCAR):
```
NaLi2Pb
1.0
-2.2582 2.2582 10.2021
2.2582 -2.2582 10.2021
2.2582 2.2582 -10.2021
Na Li Pb
2 4 2
Direct
0.0000 0.0000 0.0000
0.7500 0.2500 0.5000
0.1806 0.6250 0.0556
0.3750 0.4306 0.5556
0.5694 0.1250 0.9444
0.8750 0.8194 0.4444
0.2500 0.7500 0.5000
0.5000 0.5000 0.0000
```

Properties
- symmetry = I-42d
- M_tot (μB per atom) = 0.000
- Fermi-level density of states (states/eV per cell) = 2.3



#Q
This record from Alexandria via LeMat-Bulk describes a relaxed structure of NaLi2Pb. The functional is GGA-PBE.

Structure (POSCAR):
```
NaLi2Pb
1.0
4.9110 0.0000 0.0000
0.0000 4.9110 0.0000
0.0000 0.0000 3.7712
Na Li Pb
1 2 1
Direct
0.0000 0.0000 0.0000
0.0000 0.5000 0.5000
0.5000 0.0000 0.5000
0.5000 0.5000 0.0000
```

Properties
- symmetry = P4/mmm
- M_tot (μB per atom) = 0.000
- Fermi-level density of states (states/eV per cell) = 1.6



Which structure wins on stability? #Q wins.



#P
This record from Alexandria via LeMat-Bulk describes a relaxed structure of Na2LiPb. The functional is GGA-PBE.

Structure (POSCAR):
```
Na2LiPb
1.0
1.7239 0.9953 11.7924
-1.7239 0.9953 11.7924
0.0000 -1.9906 11.7924
Na Li Pb
2 1 1
Direct
0.0909 0.0909 0.0909
0.9091 0.9091 0.9091
0.5000 0.5000 0.5000
0.0000 0.0000 0.0000
```

Properties
- symmetry = R-3m
- M_tot (μB per atom) = 0.000
- Fermi-level density of states (states/eV per cell) = 1.8



#Q
This record from Alexandria via LeMat-Bulk describes a relaxed structure of Na2LiPb. The functional is GGA-PBE.

Structure (POSCAR):
```
Na2LiPb
1.0
3.0531 -1.7508 0.0000
3.0531 1.7508 0.0000
-2.2230 0.0000 11.0262
Na Li Pb
2 1 1
Direct
0.0000 0.0000 0.0000
0.1758 0.1758 0.4987
0.5866 0.5866 0.7497
0.4191 0.4191 0.2493
```

Properties
- symmetry = Cm
- M_tot (μB per atom) = 0.000
- Fermi-level density of states (states/eV per cell) = 1.2



#R
This record from Alexandria via LeMat-Bulk describes a relaxed structure of Na2LiPb. The functional is GGA-PBE.

Structure (POSCAR):
```
Na2LiPb
1.0
4.5085 0.0000 0.0000
0.0000 4.5085 0.0000
0.0000 0.0000 5.2234
Na Li Pb
2 1 1
Direct
0.0000 0.5000 0.0000
0.5000 0.0000 0.0000
0.0000 0.0000 0.5000
0.5000 0.5000 0.5000
```

Properties
- symmetry = P4/mmm
- M_tot (μB per atom) = 0.000
- Fermi-level density of states (states/eV per cell) = 2.2



#S
This record from Alexandria via LeMat-Bulk describes a relaxed structure of Na2LiPb. The functional is GGA-PBE.

Structure (POSCAR):
```
Na2LiPb
1.0
4.0769 0.0000 0.0000
0.0000 4.0769 0.0000
0.0000 0.0000 6.6467
Na Li Pb
2 1 1
Direct
0.0000 0.0000 0.2464
0.0000 0.0000 0.7536
0.5000 0.5000 0.5000
0.5000 0.5000 0.0000
```

Properties
- symmetry = P4/mmm
- M_tot (μB per atom) = 0.000
- Fermi-level density of states (states/eV per cell) = 1.5



Which structure wins on stability? #R wins.



#P
This record from Alexandria via LeMat-Bulk describes a relaxed structure of Na2LiPb. The functional is GGA-PBE.

Structure (POSCAR):
```
Na2LiPb
1.0
1.6702 -12.7603 0.0000
1.6702 12.7603 0.0000
0.0000 0.0000 5.0457
Na Li Pb
4 2 2
Direct
0.0318 0.9682 0.7500
0.2146 0.7854 0.2500
0.7854 0.2146 0.7500
0.9682 0.0318 0.2500
0.1436 0.8564 0.7500
0.8564 0.1436 0.2500
0.4022 0.5978 0.7500
0.5978 0.4022 0.2500
```

Properties
- symmetry = Cmcm
- M_tot (μB per atom) = 0.000
- Fermi-level density of states (states/eV per cell) = 3.7



#Q
This record from Alexandria via LeMat-Bulk describes a relaxed structure of Na2LiPb. The functional is GGA-PBE.

Structure (POSCAR):
```
Na2LiPb
1.0
0.0000 3.7710 3.7710
3.7710 0.0000 3.7710
3.7710 3.7710 0.0000
Na Li Pb
2 1 1
Direct
0.2500 0.2500 0.2500
0.7500 0.7500 0.7500
0.0000 0.0000 0.0000
0.5000 0.5000 0.5000
```

Properties
- symmetry = Fm-3m
- M_tot (μB per atom) = 0.000
- Fermi-level density of states (states/eV per cell) = 2.3



Which structure wins on stability? #P wins.



#P
This record from Alexandria via LeMat-Bulk describes a relaxed structure of Na2LiPb. The functional is GGA-PBE.

Structure (POSCAR):
```
Na2LiPb
1.0
-2.2065 2.2065 11.4614
2.2065 -2.2065 11.4614
2.2065 2.2065 -11.4614
Na Li Pb
4 2 2
Direct
0.1197 0.6250 0.9947
0.3750 0.3697 0.4947
0.6303 0.1250 0.0053
0.8750 0.8803 0.5053
0.2500 0.7500 0.5000
0.5000 0.5000 0.0000
0.0000 0.0000 0.0000
0.7500 0.2500 0.5000
```

Properties
- symmetry = I-42d
- M_tot (μB per atom) = 0.000
- Fermi-level density of states (states/eV per cell) = 2.6



#Q
This record from Alexandria via LeMat-Bulk describes a relaxed structure of Na2LiPb. The functional is GGA-PBE.

Structure (POSCAR):
```
Na2LiPb
1.0
-2.5241 2.5241 8.1613
2.5241 -2.5241 8.1613
2.5241 2.5241 -8.1613
Na Li Pb
4 2 2
Direct
0.0000 0.5000 0.5000
0.1469 0.1469 0.0000
0.5000 0.0000 0.5000
0.8531 0.8531 0.0000
0.2500 0.7500 0.5000
0.7500 0.2500 0.5000
0.3568 0.3568 0.0000
0.6432 0.6432 0.0000
```

Properties
- symmetry = I4/mmm
- M_tot (μB per atom) = 0.000
- Fermi-level density of states (states/eV per cell) = 4.2



Which structure wins on stability? #Q wins.



#P
This record from Alexandria via LeMat-Bulk describes a relaxed structure of Na8LiPb2. The functional is GGA-PBE.

Structure (POSCAR):
```
Na8LiPb2
1.0
4.5084 -8.5586 0.0000
4.5084 8.5586 0.0000
-3.7956 0.0000 4.4658
Na Li Pb
8 1 2
Direct
0.0941 0.3924 0.7609
0.1923 0.8077 0.0000
0.3924 0.0941 0.7609
0.4250 0.4250 0.6578
0.5750 0.5750 0.3422
0.6076 0.9059 0.2391
0.8077 0.1923 0.0000
0.9059 0.6076 0.2391
0.0000 0.0000 0.0000
0.3271 0.6729 0.5000
0.6729 0.3271 0.5000
```

Properties
- symmetry = C2/m
- M_tot (μB per atom) = 0.000
- Fermi-level density of states (states/eV per cell) = 4.6



#Q
This record from Alexandria via LeMat-Bulk describes a relaxed structure of Na8LiPb2. The functional is GGA-PBE.

Structure (POSCAR):
```
Na8LiPb2
1.0
6.1558 -6.0086 0.0000
6.1558 6.0086 0.0000
-1.0428 0.0000 5.3278
Na Li Pb
8 1 2
Direct
0.0882 0.0882 0.2948
0.1445 0.6350 0.2302
0.2420 0.2420 0.8827
0.3650 0.8555 0.7698
0.6350 0.1445 0.2302
0.7580 0.7580 0.1173
0.8555 0.3650 0.7698
0.9118 0.9118 0.7052
0.5000 0.5000 0.0000
0.3728 0.3728 0.4513
0.6272 0.6272 0.5487
```

Properties
- symmetry = C2/m
- M_tot (μB per atom) = 0.000
- Fermi-level density of states (states/eV per cell) = 4.6



Which structure wins on stability? #P wins.



#P
This record from Alexandria via LeMat-Bulk describes a relaxed structure of NaLi2Pb2. The functional is GGA-PBE.

Structure (POSCAR):
```
NaLi2Pb2
1.0
-2.1074 2.1074 7.1197
2.1074 -2.1074 7.1197
2.1074 2.1074 -7.1197
Na Li Pb
1 2 2
Direct
0.0000 0.0000 0.0000
0.2500 0.7500 0.5000
0.7500 0.2500 0.5000
0.3918 0.3918 0.0000
0.6082 0.6082 0.0000
```

Properties
- symmetry = I4/mmm
- M_tot (μB per atom) = 0.000
- Fermi-level density of states (states/eV per cell) = 1.8



#Q
This record from Alexandria via LeMat-Bulk describes a relaxed structure of NaLi2Pb2. The functional is GGA-PBE.

Structure (POSCAR):
```
NaLi2Pb2
1.0
8.2762 0.0000 0.0000
0.0000 8.2762 0.0000
0.0000 0.0000 3.5114
Na Li Pb
2 4 4
Direct
0.0000 0.0000 0.0000
0.5000 0.5000 0.0000
0.1527 0.3473 0.0000
0.3473 0.8473 0.0000
0.6527 0.1527 0.0000
0.8473 0.6527 0.0000
0.1418 0.6418 0.5000
0.3582 0.1418 0.5000
0.6418 0.8582 0.5000
0.8582 0.3582 0.5000
```

Properties
- symmetry = P4/mbm
- M_tot (μB per atom) = 0.000
- Fermi-level density of states (states/eV per cell) = 3.0



Which structure wins on stability? #Q wins.



#P
This record from Alexandria via LeMat-Bulk describes a relaxed structure of Na2Li4Pb3. The functional is GGA-PBE.

Structure (POSCAR):
```
Na2Li4Pb3
1.0
4.4109 -2.5439 0.0000
4.4109 2.5439 0.0000
-0.0100 0.0000 9.1859
Na Li Pb
2 4 3
Direct
0.1674 0.1674 0.2124
0.8326 0.8326 0.7876
0.1663 0.1663 0.9032
0.4988 0.4988 0.6671
0.5012 0.5012 0.3329
0.8337 0.8337 0.0968
0.1662 0.1662 0.5792
0.5000 0.5000 0.0000
0.8338 0.8338 0.4208
```

Properties
- symmetry = C2/m
- M_tot (μB per atom) = 0.000
- Fermi-level density of states (states/eV per cell) = 1.8



#Q
This record from Alexandria via LeMat-Bulk describes a relaxed structure of Na2Li4Pb3. The functional is GGA-PBE.

Structure (POSCAR):
```
Na2Li4Pb3
1.0
7.6299 -5.3612 0.0000
7.6299 5.3612 0.0000
-0.8800 0.0000 5.2121
Na Li Pb
4 8 6
Direct
0.0983 0.3427 0.3547
0.3427 0.0983 0.8547
0.6573 0.9017 0.1453
0.9017 0.6573 0.6453
0.0332 0.7702 0.2034
0.2298 0.9668 0.2966
0.3288 0.5733 0.4723
0.4267 0.6712 0.0277
0.5733 0.3288 0.9723
0.6712 0.4267 0.5277
0.7702 0.0332 0.7034
0.9668 0.2298 0.7966
0.1310 0.8690 0.7500
0.2330 0.4678 0.9276
0.4678 0.2330 0.4276
0.5322 0.7670 0.5724
0.7670 0.5322 0.0724
0.8690 0.1310 0.2500
```

Properties
- symmetry = C2/c
- M_tot (μB per atom) = 0.000
- Fermi-level density of states (states/eV per cell) = 4.7



Which structure wins on stability? #P wins.



#P
This record from Alexandria via LeMat-Bulk describes a relaxed structure of Na2LiPb4. The functional is GGA-PBE.

Structure (POSCAR):
```
Na2LiPb4
1.0
-2.4815 2.4815 7.9298
2.4815 -2.4815 7.9298
2.4815 2.4815 -7.9298
Na Li Pb
2 1 4
Direct
0.2481 0.2481 0.0000
0.7519 0.7519 0.0000
0.0000 0.0000 0.0000
0.1019 0.6019 0.5000
0.3981 0.8981 0.5000
0.6019 0.1019 0.5000
0.8981 0.3981 0.5000
```

Properties
- symmetry = I4/mmm
- M_tot (μB per atom) = 0.000
- Fermi-level density of states (states/eV per cell) = 1.9



#Q
This record from Alexandria via LeMat-Bulk describes a relaxed structure of Na2LiPb4. The functional is GGA-PBE.

Structure (POSCAR):
```
Na2LiPb4
1.0
-2.5905 2.5905 8.1304
2.5905 -2.5905 8.1304
2.5905 2.5905 -8.1304
Na Li Pb
2 1 4
Direct
0.1400 0.1400 0.0000
0.8600 0.8600 0.0000
0.5000 0.5000 0.0000
0.0000 0.5000 0.5000
0.3343 0.3343 0.0000
0.5000 0.0000 0.5000
0.6657 0.6657 0.0000
```

Properties
- symmetry = I4/mmm
- M_tot (μB per atom) = 0.000
- Fermi-level density of states (states/eV per cell) = 3.9



Which structure wins on stability? #P wins.



#P
This record from Alexandria via LeMat-Bulk describes a relaxed structure of Na3Li2Pb2. The functional is GGA-PBE.

Structure (POSCAR):
```
Na3Li2Pb2
1.0
2.4319 -11.1541 0.0000
2.4319 11.1541 0.0000
0.0000 0.0000 3.3486
Na Li Pb
3 2 2
Direct
0.0000 0.0000 0.0000
0.4143 0.5857 0.5000
0.5857 0.4143 0.5000
0.2820 0.7180 0.5000
0.7180 0.2820 0.5000
0.1650 0.8350 0.0000
0.8350 0.1650 0.0000
```

Properties
- symmetry = Cmmm
- M_tot (μB per atom) = 0.000
- Fermi-level density of states (states/eV per cell) = 2.6



#Q
This record from Alexandria via LeMat-Bulk describes a relaxed structure of Na3Li2Pb2. The functional is GGA-PBE.

Structure (POSCAR):
```
Na3Li2Pb2
1.0
4.5522 -2.6220 0.0000
4.5522 2.6220 0.0000
-3.0168 0.0000 7.2208
Na Li Pb
3 2 2
Direct
0.0000 0.0000 0.0000
0.1475 0.1475 0.4431
0.8525 0.8525 0.5569
0.2890 0.2890 0.8652
0.7110 0.7110 0.1348
0.4238 0.4238 0.2724
0.5762 0.5762 0.7276
```

Properties
- symmetry = C2/m
- M_tot (μB per atom) = 0.000
- Fermi-level density of states (states/eV per cell) = 2.3



Which structure wins on stability? #Q wins.